1.
Here is a relaxed LiCu5Rh crystal from Alexandria via LeMat-Bulk. Energies are from PBE.

- formation energy from the elements (meV/atom) = 81
- DFT total energy (eV per atom) = -4.169
- total magnetization (μB per atom) = 0.00
- energy above the lowest structure with this stoichiometry (meV per atom) = 0
- space-group type = Cmmm, No. 65

```
LiCu5Rh
1.0
2.5723 -3.6357 0.0000
2.5723 3.6357 0.0000
0.0000 0.0000 5.0960
Li Cu Rh
1 5 1
direct
0.0000 0.0000 0.0000 Li
0.0000 0.5000 0.2536 Cu
0.0000 0.5000 0.7464 Cu
0.5000 0.0000 0.2536 Cu
0.5000 0.0000 0.7464 Cu
0.5000 0.5000 0.0000 Cu
0.5000 0.5000 0.5000 Rh
```


2.
Here is a relaxed Dy5ZnIr2 crystal from Alexandria via LeMat-Bulk. Energies are from PBE.

- formation energy from the elements (meV/atom) = -620
- DFT total energy (eV per atom) = -5.871
- total magnetization (μB per atom) = 0.00
- space-group type = I4/mcm, No. 140

```
Dy5ZnIr2
1.0
-3.8696 3.8696 6.5940
3.8696 -3.8696 6.5940
3.8696 3.8696 -6.5940
Dy Zn Ir
10 2 4
direct
0.0000 0.0000 0.0000 Dy
0.0240 0.5240 0.8219 Dy
0.2021 0.0240 0.5000 Dy
0.2979 0.7979 0.8219 Dy
0.4760 0.2979 0.5000 Dy
0.5000 0.5000 0.0000 Dy
0.5240 0.7021 0.5000 Dy
0.7021 0.2021 0.1781 Dy
0.7979 0.9760 0.5000 Dy
0.9760 0.4760 0.1781 Dy
0.2500 0.2500 0.0000 Zn
0.7500 0.7500 0.0000 Zn
0.1399 0.3601 0.5000 Ir
0.3601 0.8601 0.2201 Ir
0.6399 0.1399 0.7799 Ir
0.8601 0.6399 0.5000 Ir
```


3.
Here is a relaxed LiPr2TmTe4 crystal from Alexandria via LeMat-Bulk. Energies are from PBE.

- DFT total energy (eV per atom) = -4.905
- energy relative to the elements, uncorrected (meV per atom) = -1341
- total magnetization (μB per atom) = 0.00
- space-group type = P2/m, No. 10

```
LiPr2TmTe4
1.0
7.5986 0.0000 0.0000
0.0000 4.3870 0.0000
-2.5142 0.0000 7.2792
Li Pr Tm Te
1 2 1 4
direct
0.0000 0.0000 0.0000 Li
0.0000 0.5000 0.5000 Pr
0.5000 0.0000 0.5000 Pr
0.5000 0.5000 0.0000 Tm
0.2401 0.5000 0.2282 Te
0.2527 0.0000 0.7712 Te
0.7473 0.0000 0.2288 Te
0.7599 0.5000 0.7718 Te
```


4.
Here is a relaxed CrCd2Au crystal from Alexandria via LeMat-Bulk. Energies are from PBE.

- formation energy from the elements (meV/atom) = 101
- DFT total energy (eV per atom) = -3.582
- total magnetization (μB per atom) = 1.04
- energy above the lowest structure with this stoichiometry (meV per atom) = 0
- space-group type = Immm, No. 71

```
CrCd2Au
1.0
-2.1289 2.1405 4.1342
2.1289 -2.1405 4.1342
2.1289 2.1405 -4.1342
Cr Cd Au
1 2 1
direct
0.0000 0.0000 0.0000 Cr
0.2501 0.7501 0.5000 Cd
0.7499 0.2499 0.5000 Cd
0.5000 0.5000 0.0000 Au
```


5.
Here is a relaxed DyHo5Sb6 crystal from Alexandria via LeMat-Bulk. Energies are from PBE.

- DFT total energy (eV per atom) = -5.469
- energy relative to the elements, uncorrected (meV per atom) = -1117
- total magnetization (μB per atom) = 0.00
- space-group type = C2/m, No. 12

```
DyHo5Sb6
1.0
3.7852 -6.5557 0.0000
3.7852 6.5557 0.0000
-2.5231 0.0000 7.1348
Dy Ho Sb
1 5 6
direct
0.0000 0.0000 0.0000 Dy
0.1664 0.8336 0.5000 Ho
0.3332 0.6668 0.0000 Ho
0.5000 0.5000 0.5000 Ho
0.6668 0.3332 0.0000 Ho
0.8336 0.1664 0.5000 Ho
0.0835 0.4174 0.2505 Sb
0.2507 0.2507 0.7498 Sb
0.4174 0.0835 0.2505 Sb
0.5826 0.9165 0.7495 Sb
0.7493 0.7493 0.2502 Sb
0.9165 0.5826 0.7495 Sb
```


6.
Here is a relaxed TiNb2O6 crystal from Alexandria via LeMat-Bulk. Energies are from PBE.

- DFT total energy (eV per atom) = -8.882
- energy relative to the elements, uncorrected (meV per atom) = -2462
- total magnetization (μB per atom) = 0.22
- energy above the lowest structure with this stoichiometry (meV per atom) = 124
- space-group type = C2/m, No. 12

```
TiNb2O6
1.0
5.0292 -1.8830 0.0000
5.0292 1.8830 0.0000
-2.8863 0.0000 6.1019
Ti Nb O
1 2 6
direct
0.0000 0.0000 0.0000 Ti
0.1834 0.1834 0.6471 Nb
0.8166 0.8166 0.3529 Nb
0.0166 0.0166 0.7160 O
0.3041 0.3041 0.4354 O
0.3578 0.3578 0.9072 O
0.6422 0.6422 0.0928 O
0.6959 0.6959 0.5646 O
0.9834 0.9834 0.2840 O
```


7.
Here is a relaxed RbMg2Se2 crystal from Alexandria via LeMat-Bulk. Energies are from PBE.

- DFT total energy (eV per atom) = -3.100
- energy relative to the elements, uncorrected (meV per atom) = -875
- total magnetization (μB per atom) = 0.18
- energy above the lowest structure with this stoichiometry (meV per atom) = 41
- space-group type = I4/mmm, No. 139

```
RbMg2Se2
1.0
-2.5933 2.5933 5.3260
2.5933 -2.5933 5.3260
2.5933 2.5933 -5.3260
Rb Mg Se
1 2 2
direct
0.0000 0.0000 0.0000 Rb
0.3321 0.3321 0.0000 Mg
0.6679 0.6679 0.0000 Mg
0.2500 0.7500 0.5000 Se
0.7500 0.2500 0.5000 Se
```


8.
Here is a relaxed Dy9Ho2Sc crystal from Alexandria via LeMat-Bulk. Energies are from PBE.

- formation energy from the elements (meV/atom) = 28
- DFT total energy (eV per atom) = -4.714
- total magnetization (μB per atom) = 0.00
- space-group type = P4/mmm, No. 123

```
Dy9Ho2Sc
1.0
4.9782 0.0000 0.0000
0.0000 4.9782 0.0000
0.0000 0.0000 14.8954
Dy Ho Sc
9 2 1
direct
0.0000 0.0000 0.0000 Dy
0.0000 0.0000 0.3311 Dy
0.0000 0.0000 0.6689 Dy
0.0000 0.5000 0.1625 Dy
0.0000 0.5000 0.5000 Dy
0.0000 0.5000 0.8375 Dy
0.5000 0.0000 0.1625 Dy
0.5000 0.0000 0.5000 Dy
0.5000 0.0000 0.8375 Dy
0.5000 0.5000 0.3316 Ho
0.5000 0.5000 0.6684 Ho
0.5000 0.5000 0.0000 Sc
```


9.
Here is a relaxed Sc2CrRe2 crystal from Alexandria via LeMat-Bulk. Energies are from PBE.

- formation energy from the elements (meV/atom) = 101
- DFT total energy (eV per atom) = -9.335
- total magnetization (μB per atom) = 0.00
- space-group type = P4/mbm, No. 127

```
Sc2CrRe2
1.0
6.2798 0.0000 0.0000
0.0000 6.2798 0.0000
0.0000 0.0000 4.5377
Sc Cr Re
4 2 4
direct
0.1737 0.3263 0.0000 Sc
0.3263 0.8263 0.0000 Sc
0.6737 0.1737 0.0000 Sc
0.8263 0.6737 0.0000 Sc
0.0000 0.0000 0.5000 Cr
0.5000 0.5000 0.5000 Cr
0.1402 0.6402 0.5000 Re
0.3598 0.1402 0.5000 Re
0.6402 0.8598 0.5000 Re
0.8598 0.3598 0.5000 Re
```


10.
Here is a relaxed RbYCr2Cl8 crystal from Alexandria via LeMat-Bulk. Energies are from PBE.

- DFT total energy (eV per atom) = -4.976
- energy relative to the elements, uncorrected (meV per atom) = -1522
- total magnetization (μB per atom) = 0.67
- space-group type = P-1, No. 2

```
RbYCr2Cl8
1.0
6.6770 0.0000 0.0000
-2.3956 6.4344 0.0000
-0.6228 -3.6177 8.3641
Rb Y Cr Cl
1 1 2 8
direct
0.0000 0.0000 0.0000 Rb
0.0000 0.5000 0.5000 Y
0.4287 0.3173 0.7939 Cr
0.5713 0.6827 0.2061 Cr
0.1622 0.5394 0.2507 Cl
0.2688 0.3085 0.5511 Cl
0.2974 0.9135 0.6890 Cl
0.4572 0.6871 0.9535 Cl
0.5428 0.3129 0.0465 Cl
0.7026 0.0865 0.3110 Cl
0.7312 0.6915 0.4489 Cl
0.8378 0.4606 0.7493 Cl
```


11.
Here is a relaxed LuMnAgAu crystal from Alexandria via LeMat-Bulk. Energies are from PBE.

- formation energy from the elements (meV/atom) = -261
- DFT total energy (eV per atom) = -5.216
- total magnetization (μB per atom) = 1.05
- space-group type = F-43m, No. 216

```
LuMnAgAu
1.0
0.0000 3.3861 3.3861
3.3861 0.0000 3.3861
3.3861 3.3861 0.0000
Lu Mn Ag Au
1 1 1 1
direct
0.0000 0.0000 0.0000 Lu
0.5000 0.5000 0.5000 Mn
0.7500 0.7500 0.7500 Ag
0.2500 0.2500 0.2500 Au
```


12.
Here is a relaxed NaTaTl2Se4 crystal from Alexandria via LeMat-Bulk. Energies are from PBE.

- DFT total energy (eV per atom) = -4.648
- energy relative to the elements, uncorrected (meV per atom) = -668
- total magnetization (μB per atom) = 0.00
- space-group type = I-4, No. 82

```
NaTaTl2Se4
1.0
-3.4703 3.4703 6.2522
3.4703 -3.4703 6.2522
3.4703 3.4703 -6.2522
Na Ta Tl Se
1 1 2 4
direct
0.0000 0.0000 0.0000 Na
0.7500 0.2500 0.5000 Ta
0.2500 0.7500 0.5000 Tl
0.5000 0.5000 0.0000 Tl
0.0437 0.5803 0.9025 Se
0.4197 0.3222 0.4634 Se
0.6778 0.1412 0.0975 Se
0.8588 0.9563 0.5366 Se
```


Q: Look up the total magnetization of the fifth one.
A: 0.00 μB per atom